No. 1
DFT (PBE) results for PrSnB after structural relaxation.

abc: 4.7970 4.7970 4.7970
angles: 60.00 60.00 60.00
Positions (direct):
B (0.2500, 0.2500, 0.2500)
Pr (0.7500, 0.7500, 0.7500)
Sn (0.0000, 0.0000, 0.0000)

Calculated values
* calculated density: 5.75 g cm⁻³
* crystal system: cubic
* final energy: -12.67 eV for the cell shown
* spin magnetization: 0.010 Bohr magnetons per cell
* volume: 78.06 Å³ per cell



No. 2
DFT (PBE) results for GdTaNi after structural relaxation.

abc: 4.4273 4.4273 4.4273
angles: 60.00 60.00 60.00
Positions (direct):
Gd (0.2500, 0.2500, 0.2500)
Ni (0.0000, 0.0000, 0.0000)
Ta (0.7500, 0.7500, 0.7500)

Calculated values
* calculated density: 10.74 g cm⁻³
* crystal system: cubic
* energy relative to the elements: 434 meV per atom
* final energy: -20.77 eV for the cell shown
* spin magnetization: 0.421 Bohr magnetons per cell
* volume: 61.36 Å³ per cell



No. 3
DFT (PBE) results for Y3Lu4Te2Pd2 after structural relaxation.

abc: 9.3094 9.3094 9.3094
angles: 155.63 66.88 118.80
Positions (direct):
Lu (0.0223, 0.8917, 0.1306)
Lu (0.4194, 0.1018, 0.3176)
Lu (0.7842, 0.1018, 0.6824)
Lu (0.7611, 0.8917, 0.8694)
Pd (0.6519, 0.4117, 0.2403)
Pd (0.1714, 0.4117, 0.7597)
Te (0.1362, 0.1362, 0.0000)
Te (0.7442, 0.2442, 0.5000)
Y (0.4788, 0.4788, 0.0000)
Y (0.0935, 0.7382, 0.3552)
Y (0.3830, 0.7382, 0.6448)

Calculated values
* calculated density: 8.23 g cm⁻³
* crystal system: orthorhombic
* final energy: -63.67 eV for the cell shown
* spin magnetization: 0.017 Bohr magnetons per cell
* volume: 289.34 Å³ per cell



Please write out number 1 again, unchanged.
DFT (PBE) results for PrSnB after structural relaxation.

abc: 4.7970 4.7970 4.7970
angles: 60.00 60.00 60.00
Positions (direct):
B (0.2500, 0.2500, 0.2500)
Pr (0.7500, 0.7500, 0.7500)
Sn (0.0000, 0.0000, 0.0000)

Calculated values
* calculated density: 5.75 g cm⁻³
* crystal system: cubic
* final energy: -12.67 eV for the cell shown
* spin magnetization: 0.010 Bohr magnetons per cell
* volume: 78.06 Å³ per cell



> Which of these has the highest final energy?

PrSnB



> Which formula does entry 2 have?

GdTaNi



> What is the formula in the third record?

Y3Lu4Te2Pd2